No. 1
DyScFeNi | PBE | relaxed

Cell: 4.585 4.585 4.585 Å, 60.00 60.00 60.00°
Positions (direct):
Sc1 0.500 0.500 0.500
Ni1 0.250 0.250 0.250
Fe1 0.750 0.750 0.750
Dy1 0.000 0.000 0.000

Properties
* E_tot: -25.8 eV/f.u.
* ΔE_f: -0.157 eV per atom

---

No. 2
DyFeSi2Ni | PBE | relaxed

Cell: 3.889 3.889 5.625 Å, 110.22 110.22 90.00°
Positions (direct):
Dy1 0.000 0.000 0.000
Fe1 0.750 0.250 0.500
Si1 0.627 0.627 0.254
Si2 0.373 0.373 0.746
Ni1 0.250 0.750 0.500

Properties
* E_tot: -33.5 eV/f.u.
* energy relative to the elements, uncorrected: -73.59 kJ/mol of atoms

---

> Which formula does entry 1 have?

DyScFeNi

---

> What is the E_tot in the second record?

-33.5 eV/f.u.